The following is a DFT calculation (PBE) of a relaxed CsNaNiW crystal.

abc: 7.2925 7.2925 7.2925
angles: 90.00 90.00 90.00
Closest atoms and distances in Å follow each position.
Space group F-43m (No. 216)
Inequivalent atoms, fractional coordinates:
Cs 0.0000 0.0000 0.0000 x4  4 Na 3.16, 4 Ni 3.16
Na 0.2500 0.2500 0.7500 x4  4 Cs 3.16, 4 W 3.16
Ni 0.2500 0.2500 0.2500 x4  4 W 3.16, 4 Cs 3.16
W 0.0000 0.0000 0.5000 x4  4 Na 3.16, 4 Ni 3.16

Properties
Total magnetization = 1.063 μB/atom
VASP energy = -54.0 eV/cell

=====

The following is a DFT calculation (PBE) of a relaxed TlCuHgPt crystal.

abc: 6.6777 6.6777 6.6777
angles: 90.00 90.00 90.00
Closest atoms and distances in Å follow each position.
Space group F-43m (No. 216)
Inequivalent atoms, fractional coordinates:
Tl 0.0000 0.0000 0.0000 x4  4 Pt 2.89, 4 Cu 2.89
Cu 0.2500 0.2500 0.2500 x4  4 Hg 2.89, 4 Tl 2.89
Hg 0.0000 0.0000 0.5000 x4  4 Cu 2.89, 4 Pt 2.89
Pt 0.2500 0.2500 0.7500 x4  4 Hg 2.89, 4 Tl 2.89

Properties
Total magnetization = 0.001 μB/atom
VASP energy = -47.0 eV/cell

=====

The following is a DFT calculation (PBE) of a relaxed Ba2Ho crystal.

abc: 15.9018 15.9018 15.9018
angles: 90.00 90.00 90.00
Closest atoms and distances in Å follow each position.
Space group Fd-3m (No. 227, origin choice 2)
Inequivalent atoms, fractional coordinates:
Ba 0.0000 0.0000 0.0000 x16  2 Ho 3.44
Ho 0.1250 0.1250 0.1250 x8  4 Ba 3.44

Properties
Total magnetization = 1.666 μB/atom
VASP energy = -31.0 eV/cell

=====

The following is a DFT calculation (PBE) of a relaxed HoInTe3Pb crystal.

abc: 4.4487 15.0662 11.1893
angles: 90.00 90.00 90.00
Closest atoms and distances in Å follow each position.
Space group Cmcm (No. 63)
Inequivalent atoms, fractional coordinates:
Ho 0.0000 0.0000 0.0000 x4  6 Te 3.14-3.20
In 0.0000 0.4640 0.2500 x4  4 Te 2.98-3.06
Te 0.0000 0.1033 0.2500 x4  2 In 3.06, 2 Ho 3.20, 2 Pb 3.29
Te 0.0000 0.3544 0.0285 x8  1 In 2.98, 2 Ho 3.14
Pb 0.0000 0.2355 0.7500 x4  8 Te 3.29-3.60

Properties
Total magnetization = 0.001 μB/atom
VASP energy = -95.4 eV/cell

=====

The following is a DFT calculation (PBE) of a relaxed PrAlO3 crystal.

abc: 5.3221 7.5299 5.3652
angles: 90.00 90.00 90.00
Closest atoms and distances in Å follow each position.
Space group Pnma (No. 62)
Inequivalent atoms, fractional coordinates:
Pr 0.0056 0.2500 0.0023 x4  6 O 2.41-2.64
Al 0.0000 0.0000 0.5000 x4  6 O 1.90
O 0.0012 0.7500 0.4460 x4  2 Al 1.90
O 0.2434 0.5282 0.7565 x8  2 Al 1.90

Properties
Total magnetization = 0.000 μB/atom
VASP energy = -158.3 eV/cell

=====

The following is a DFT calculation (PBE) of a relaxed ZrPdPbSe3 crystal.

abc: 7.7546 3.8679 10.0260
angles: 90.00 107.43 90.00
Closest atoms and distances in Å follow each position.
Space group P2_1/m (No. 11)
Inequivalent atoms, fractional coordinates:
Zr 0.1917 0.2500 0.1653 x2  6 Se 2.66-2.83
Pd 0.4454 0.7500 0.3810 x2  4 Se 2.51-2.78
Pb 0.2799 0.7500 0.6756 x2  4 Se 3.01-3.23, 2 Pd 3.05
Se 0.0701 0.2500 0.8691 x2  3 Zr 2.75-2.83
Se 0.2170 0.2500 0.4354 x2  1 Zr 2.66, 3 Pd 2.71-2.78
Se 0.4185 0.7500 0.1251 x2  1 Pd 2.51, 2 Zr 2.72

Properties
Total magnetization = 0.001 μB/atom
VASP energy = -66.2 eV/cell

=====

The following is a DFT calculation (PBE) of a relaxed PmGaFe crystal.

abc: 6.6953 6.6953 6.6953
angles: 90.00 90.00 90.00
Closest atoms and distances in Å follow each position.
Space group F-43m (No. 216)
Inequivalent atoms, fractional coordinates:
Pm 0.0000 0.0000 0.0000 x4  4 Fe 2.90, 4 Ga 2.90
Ga 0.2500 0.2500 0.2500 x4  4 Pm 2.90
Fe 0.2500 0.2500 0.7500 x4  4 Pm 2.90

Properties
Total magnetization = 0.805 μB/atom
VASP energy = -56.1 eV/cell

=====

The following is a DFT calculation (PBE) of a relaxed ErAl3O crystal.

abc: 4.3470 4.3470 4.3470
angles: 90.00 90.00 90.00
Closest atoms and distances in Å follow each position.
Space group Pm-3m (No. 221)
Inequivalent atoms, fractional coordinates:
Er 0.0000 0.0000 0.0000 x1  12 Al 3.07
Al 0.0000 0.5000 0.5000 x3  2 O 2.17
O 0.5000 0.5000 0.5000 x1  6 Al 2.17

Properties
Total magnetization = 0.001 μB/atom
VASP energy = -23.7 eV/cell

=====

The following is a DFT calculation (PBE) of a relaxed KSi5Au3 crystal.

abc: 6.1291 6.1291 5.9168
angles: 90.00 90.00 120.00
Closest atoms and distances in Å follow each position.
Space group P6/mmm (No. 191)
Inequivalent atoms, fractional coordinates:
K 0.0000 0.0000 0.0000 x1  2 Si 2.96
Si 0.0000 0.0000 0.5000 x1  2 K 2.96, 6 Au 3.06
Si 0.3333 0.6667 0.2000 x4  1 Si 2.37, 3 Au 2.51
Au 0.0000 0.5000 0.5000 x3  4 Si 2.51

Properties
VASP energy = -34.4 eV/cell

=====

The following is a DFT calculation (PBE) of a relaxed Y2Ho2BBr3Cl2 crystal.

abc: 17.3122 3.8773 8.1367
angles: 90.00 103.04 90.00
Closest atoms and distances in Å follow each position.
Space group C2/m (No. 12)
Inequivalent atoms, fractional coordinates:
Y 0.1470 0.0000 0.0761 x4  1 B 2.48
Ho 0.0017 0.5000 0.7937 x4  2 B 2.57, 1 Cl 2.87
B 0.0000 0.0000 0.0000 x2  2 Y 2.48, 4 Ho 2.57
Br 0.0000 0.0000 0.5000 x2  4 Ho 3.07
Br 0.1691 0.5000 0.3418 x4  2 Y 2.86, 1 Ho 2.91
Cl 0.1715 0.5000 0.8472 x4  3 Y 2.79-3.06, 1 Ho 2.87

Properties
Total magnetization = 0.001 μB/atom
VASP energy = -105.2 eV/cell

=====

The following is a DFT calculation (PBE) of a relaxed ZnCoReBi crystal.

abc: 6.3399 6.3399 6.3399
angles: 90.00 90.00 90.00
Closest atoms and distances in Å follow each position.
Space group F-43m (No. 216)
Inequivalent atoms, fractional coordinates:
Zn 0.0000 0.0000 0.0000 x4  4 Co 2.75, 4 Re 2.75
Co 0.2500 0.2500 0.7500 x4  4 Bi 2.75, 4 Zn 2.75
Re 0.2500 0.2500 0.2500 x4  4 Zn 2.75, 4 Bi 2.75
Bi 0.0000 0.0000 0.5000 x4  4 Re 2.75, 4 Co 2.75

Properties
Total magnetization = 0.002 μB/atom
VASP energy = -88.2 eV/cell

=====

The following is a DFT calculation (PBE) of a relaxed Ta4CoAuN2 crystal.

abc: 3.1008 3.1008 13.3416
angles: 90.00 90.00 120.00
Closest atoms and distances in Å follow each position.
Space group P-6m2 (No. 187)
Inequivalent atoms, fractional coordinates:
Ta 0.0000 0.0000 0.1455 x2  3 N 2.17
Ta 0.3333 0.6667 0.3283 x2  3 N 2.16
Co 0.3333 0.6667 0.0000 x1  6 Ta 2.64
Au 0.0000 0.0000 0.5000 x1  6 Ta 2.91, 6 Au 3.10
N 0.6667 0.3333 0.2373 x2  6 Ta 2.16-2.17

Properties
Total magnetization = 0.006 μB/atom
VASP energy = -78.4 eV/cell